# PBE LaPr2Sm5Mg, optimized geometry
# ρ   6.4 g cm⁻³
# Formation enthalpy at 0 K   8 kJ per mole of atoms
# E_tot   -155.61 eV for the cell shown
data_LaPr2Sm5Mg
_cell_length_a 5.603
_cell_length_b 20.257
_cell_length_c 10.866
_cell_angle_alpha 90.00
_cell_angle_beta 90.00
_cell_angle_gamma 90.00
_space_group_name_H-M_alt 'C m c 21'
_space_group_IT_number 36
_space_group_name_Hall 'C 2c -2'
loop_
_atom_site_label
_atom_site_type_symbol
_atom_site_fract_x
_atom_site_fract_y
_atom_site_fract_z
La1 La 0.000 0.203 0.000
Pr1 Pr 0.000 0.115 0.292
Pr2 Pr 0.000 0.115 0.708
Sm1 Sm 0.000 0.013 0.000
Sm2 Sm 0.000 0.290 0.299
Sm3 Sm 0.000 0.290 0.700
Sm4 Sm 0.000 0.385 0.000
Sm5 Sm 0.000 0.500 0.250
Mg1 Mg 0.000 0.406 0.499

---

# PBE AcSn2Pd3, optimized geometry
# Offset from the most stable computed form   1.18 kcal/mol of atoms
# ρ   9.3 g cm⁻³
# Formation enthalpy at 0 K   -66 kJ per mole of atoms
# E_tot   -127.19 eV for the cell shown
data_AcSn2Pd3
_cell_length_a 17.193
_cell_length_b 4.705
_cell_length_c 7.706
_cell_angle_alpha 90.00
_cell_angle_beta 116.43
_cell_angle_gamma 90.00
_space_group_name_H-M_alt 'C 1 2/m 1'
_space_group_IT_number 12
_space_group_name_Hall '-C 2y'
loop_
_atom_site_label
_atom_site_type_symbol
_atom_site_fract_x
_atom_site_fract_y
_atom_site_fract_z
Ac1 Ac 0.161 0.000 0.107
Sn1 Sn 0.023 0.500 0.210
Sn2 Sn 0.159 0.000 0.608
Pd1 Pd 0.013 0.000 0.690
Pd2 Pd 0.122 0.500 0.730
Pd3 Pd 0.195 0.500 0.448

---

# PBE PaHIr3, optimized geometry
# Offset from the most stable computed form   0.89 kcal/mol of atoms
# ρ   19.0 g cm⁻³
# E_tot   -42.22 eV for the cell shown
data_PaHIr3
_cell_length_a 4.137
_cell_length_b 4.137
_cell_length_c 4.137
_cell_angle_alpha 90.00
_cell_angle_beta 90.00
_cell_angle_gamma 90.00
_space_group_name_H-M_alt 'P m -3 m'
_space_group_IT_number 221
_space_group_name_Hall '-P 4 2 3'
loop_
_atom_site_label
_atom_site_type_symbol
_atom_site_fract_x
_atom_site_fract_y
_atom_site_fract_z
Pa1 Pa 0.000 0.000 0.000
H1 H 0.500 0.500 0.500
Ir1 Ir 0.000 0.500 0.500

---

What did the first record say?
# PBE LaPr2Sm5Mg, optimized geometry
# ρ   6.4 g cm⁻³
# Formation enthalpy at 0 K   8 kJ per mole of atoms
# E_tot   -155.61 eV for the cell shown
data_LaPr2Sm5Mg
_cell_length_a 5.603
_cell_length_b 20.257
_cell_length_c 10.866
_cell_angle_alpha 90.00
_cell_angle_beta 90.00
_cell_angle_gamma 90.00
_space_group_name_H-M_alt 'C m c 21'
_space_group_IT_number 36
_space_group_name_Hall 'C 2c -2'
loop_
_atom_site_label
_atom_site_type_symbol
_atom_site_fract_x
_atom_site_fract_y
_atom_site_fract_z
La1 La 0.000 0.203 0.000
Pr1 Pr 0.000 0.115 0.292
Pr2 Pr 0.000 0.115 0.708
Sm1 Sm 0.000 0.013 0.000
Sm2 Sm 0.000 0.290 0.299
Sm3 Sm 0.000 0.290 0.700
Sm4 Sm 0.000 0.385 0.000
Sm5 Sm 0.000 0.500 0.250
Mg1 Mg 0.000 0.406 0.499

---

ρ of number 3 (PaHIr3)? 19.0 g cm⁻³

---

Please write out number 2 again, unchanged.
# PBE AcSn2Pd3, optimized geometry
# Offset from the most stable computed form   1.18 kcal/mol of atoms
# ρ   9.3 g cm⁻³
# Formation enthalpy at 0 K   -66 kJ per mole of atoms
# E_tot   -127.19 eV for the cell shown
data_AcSn2Pd3
_cell_length_a 17.193
_cell_length_b 4.705
_cell_length_c 7.706
_cell_angle_alpha 90.00
_cell_angle_beta 116.43
_cell_angle_gamma 90.00
_space_group_name_H-M_alt 'C 1 2/m 1'
_space_group_IT_number 12
_space_group_name_Hall '-C 2y'
loop_
_atom_site_label
_atom_site_type_symbol
_atom_site_fract_x
_atom_site_fract_y
_atom_site_fract_z
Ac1 Ac 0.161 0.000 0.107
Sn1 Sn 0.023 0.500 0.210
Sn2 Sn 0.159 0.000 0.608
Pd1 Pd 0.013 0.000 0.690
Pd2 Pd 0.122 0.500 0.730
Pd3 Pd 0.195 0.500 0.448